1.
A PBEsol-optimized structure of ErSi2Rh2. Source: the Alexandria database, functional SCAN.

Output
- calculated volume (Å³ per atom) = 15.732
- DOS(E_F) (states/eV per cell) = 1.90
- E_form (uncorrected) (meV/atom) = -1241

Cell: 5.682 5.682 5.682 Å, 138.84 138.84 59.61°
Fractional coordinates of all 5 atoms:
1 Er 0.000 0.000 0.000
2 Si 0.379 0.379 0.000
3 Si 0.621 0.621 0.000
4 Rh 0.250 0.750 0.500
5 Rh 0.750 0.250 0.500

2.
A PBEsol-optimized structure of SrMg2Hg2. Source: the Alexandria database, functional SCAN.

Output
- calculated volume (Å³ per atom) = 25.841
- DOS(E_F) (states/eV per cell) = 2.29
- E_tot (eV/atom) = -34.2604

Cell: 7.130 7.130 7.130 Å, 143.21 143.21 53.01°
Fractional coordinates of all 5 atoms:
1 Sr 0.000 0.000 0.000
2 Mg 0.250 0.750 0.500
3 Mg 0.750 0.250 0.500
4 Hg 0.388 0.388 0.000
5 Hg 0.612 0.612 0.000

3.
A PBEsol-optimized structure of SrLi2Sb. Source: the Alexandria database, functional SCAN.

Output
- calculated volume (Å³ per atom) = 25.985
- DOS(E_F) (states/eV per cell) = 0.44
- E_form (uncorrected) (meV/atom) = -520

Cell: 4.645 4.645 4.817 Å, 90.00 90.00 90.00°
Fractional coordinates of all 4 atoms:
1 Sr 0.000 0.000 0.000
2 Li 0.000 0.500 0.500
3 Li 0.500 0.000 0.500
4 Sb 0.500 0.500 0.000

4.
A PBEsol-optimized structure of OsAuO3. Source: the Alexandria database, functional SCAN.

Output
- calculated volume (Å³ per atom) = 12.898
- DOS(E_F) (states/eV per cell) = 2.30
- E_form (uncorrected) (meV/atom) = 1211

Cell: 4.010 4.010 4.010 Å, 90.00 90.00 90.00°
Fractional coordinates of all 5 atoms:
1 Os 0.000 0.000 0.000
2 Au 0.500 0.500 0.500
3 O 0.000 0.500 0.500
4 O 0.500 0.000 0.500
5 O 0.500 0.500 0.000

5.
A PBEsol-optimized structure of KInTeI2. Source: the Alexandria database, functional SCAN.

Output
- calculated volume (Å³ per atom) = 40.194
- DOS(E_F) (states/eV per cell) = 3.16
- E_form (uncorrected) (meV/atom) = -646
- energy above the most stable polymorph in this dataset (meV per atom) = 0

Cell: 5.977 5.977 5.625 Å, 90.00 90.00 90.00°
Fractional coordinates of all 5 atoms:
1 K 0.000 0.000 0.000
2 In 0.500 0.500 0.500
3 Te 0.500 0.500 0.000
4 I 0.000 0.500 0.500
5 I 0.500 0.000 0.500

6.
A PBEsol-optimized structure of Ca2CoSi. Source: the Alexandria database, functional SCAN.

Output
- calculated volume (Å³ per atom) = 25.052
- DOS(E_F) (states/eV per cell) = 3.71
- E_form (uncorrected) (meV/atom) = -246

Cell: 7.849 7.849 7.849 Å, 28.95 28.95 28.95°
Fractional coordinates of all 4 atoms:
1 Ca 0.000 0.000 0.000
2 Ca 0.172 0.172 0.172
3 Co 0.419 0.419 0.419
4 Si 0.753 0.753 0.753

7.
A PBEsol-optimized structure of Li3ScHg. Source: the Alexandria database, functional SCAN.

Output
- calculated volume (Å³ per atom) = 28.663
- DOS(E_F) (states/eV per cell) = 6.66
- E_tot (eV/atom) = -16.9715

Cell: 5.233 5.233 5.233 Å, 90.00 90.00 90.00°
Fractional coordinates of all 5 atoms:
1 Li 0.000 0.000 0.500
2 Li 0.000 0.500 0.000
3 Li 0.500 0.000 0.000
4 Sc 0.000 0.000 0.000
5 Hg 0.500 0.500 0.500

8.
A PBEsol-optimized structure of CdGaTc2W. Source: the Alexandria database, functional SCAN.

Output
- calculated volume (Å³ per atom) = 20.374
- DOS(E_F) (states/eV per cell) = 2.30
- E_tot (eV/atom) = -34.8659

Cell: 4.804 4.804 4.415 Å, 90.00 90.00 90.00°
Fractional coordinates of all 5 atoms:
1 Cd 0.000 0.000 0.000
2 Ga 0.000 0.000 0.500
3 Tc 0.000 0.500 0.000
4 Tc 0.500 0.000 0.000
5 W 0.500 0.500 0.500

9.
A PBEsol-optimized structure of LaCr2Cu. Source: the Alexandria database, functional SCAN.

Output
- calculated volume (Å³ per atom) = 17.625
- DOS(E_F) (states/eV per cell) = 3.03
- energy above the most stable polymorph in this dataset (meV per atom) = 0

Cell: 4.637 4.637 4.637 Å, 60.00 60.00 60.00°
Fractional coordinates of all 4 atoms:
1 La 0.000 0.000 0.000
2 Cr 0.250 0.250 0.250
3 Cr 0.500 0.500 0.500
4 Cu 0.750 0.750 0.750

10.
A PBEsol-optimized structure of SbPRh2. Source: the Alexandria database, functional SCAN.

Output
- calculated volume (Å³ per atom) = 16.453
- DOS(E_F) (states/eV per cell) = 2.02
- E_form (uncorrected) (meV/atom) = -415
- energy above the most stable polymorph in this dataset (meV per atom) = 0

Cell: 6.901 6.901 6.901 Å, 153.96 152.82 38.00°
Fractional coordinates of all 4 atoms:
1 Sb 0.000 0.000 0.000
2 P 0.251 0.751 0.500
3 Rh 0.627 0.627 0.000
4 Rh 0.812 0.312 0.500

11.
A PBEsol-optimized structure of Zn3CdSe4. Source: the Alexandria database, functional SCAN.

Output
- calculated volume (Å³ per atom) = 23.700
- DOS(E_F) (states/eV per cell) = 0.00
- E_form (uncorrected) (meV/atom) = -755

Cell: 5.745 5.745 5.745 Å, 90.00 90.00 90.00°
Fractional coordinates of all 8 atoms:
1 Zn 0.000 0.000 0.500
2 Zn 0.000 0.500 0.000
3 Zn 0.500 0.000 0.000
4 Cd 0.500 0.500 0.500
5 Se 0.239 0.239 0.761
6 Se 0.239 0.761 0.239
7 Se 0.761 0.239 0.239
8 Se 0.761 0.761 0.761

12.
A PBEsol-optimized structure of Rb2CuBiCl6. Source: the Alexandria database, functional SCAN.

Output
- calculated volume (Å³ per atom) = 27.190
- E_form (uncorrected) (meV/atom) = -1399

Cell: 7.272 7.272 7.272 Å, 60.00 60.00 60.00°
Fractional coordinates of all 10 atoms:
1 Rb 0.250 0.250 0.250
2 Rb 0.750 0.750 0.750
3 Cu 0.000 0.000 0.000
4 Bi 0.500 0.500 0.500
5 Cl 0.237 0.237 0.763
6 Cl 0.237 0.763 0.237
7 Cl 0.237 0.763 0.763
8 Cl 0.763 0.237 0.237
9 Cl 0.763 0.237 0.763
10 Cl 0.763 0.763 0.237

no.,spin magnetization (μB/f.u.)
1,0.000
2,0.000
3,0.959
4,4.541
5,0.000
6,0.074
7,2.089
8,1.221
9,0.643
10,0.000
11,0.000
12,0.000